{"formula": "CaTi3Te", "functional": "PBE-GGA", "state": "optimized geometry", "total_energy_ev_per_atom": -4.25, "raw_formation_energy_ev_per_atom": 1.513, "e_above_lowest_polymorph_mev_per_atom": 1016, "lattice_angstrom": [[4.826, 0.000, 0.000], [0.000, 4.826, 0.000], [0.000, 0.000, 4.826]], "species": ["Ca", "Ti", "Ti", "Ti", "Te"], "fractional_positions": [[0.000, 0.000, 0.000], [0.000, 0.000, 0.500], [0.000, 0.500, 0.000], [0.500, 0.000, 0.000], [0.500, 0.500, 0.500]]}

{"formula": "Ca2TiTl3Te6", "functional": "PBE-GGA", "state": "optimized geometry", "total_energy_ev_per_atom": -3.94, "raw_formation_energy_ev_per_atom": -0.786, "lattice_angstrom": [[3.859, -6.677, 0.000], [3.859, 6.677, 0.000], [-2.635, 0.000, 7.703]], "species": ["Ca", "Ca", "Ti", "Tl", "Tl", "Tl", "Te", "Te", "Te", "Te", "Te", "Te"], "fractional_positions": [[0.164, 0.836, 0.000], [0.836, 0.164, 0.000], [0.500, 0.500, 0.000], [0.000, 0.000, 0.500], [0.327, 0.673, 0.500], [0.673, 0.327, 0.500], [0.129, 0.430, 0.790], [0.274, 0.274, 0.219], [0.430, 0.129, 0.790], [0.570, 0.871, 0.210], [0.726, 0.726, 0.781], [0.871, 0.570, 0.210]]}

{"formula": "Ca2Tl2Te", "functional": "PBE-GGA", "state": "optimized geometry", "total_energy_ev_per_atom": -2.84, "raw_formation_energy_ev_per_atom": -0.466, "e_above_lowest_polymorph_mev_per_atom": 54, "lattice_angstrom": [[8.592, 0.000, 0.000], [0.000, 8.592, 0.000], [0.000, 0.000, 4.204]], "species": ["Ca", "Ca", "Ca", "Ca", "Tl", "Tl", "Tl", "Tl", "Te", "Te"], "fractional_positions": [[0.175, 0.325, 0.000], [0.325, 0.825, 0.000], [0.675, 0.175, 0.000], [0.825, 0.675, 0.000], [0.128, 0.628, 0.500], [0.372, 0.128, 0.500], [0.628, 0.872, 0.500], [0.872, 0.372, 0.500], [0.000, 0.000, 0.500], [0.500, 0.500, 0.500]]}

{"formula": "CaTlTe", "functional": "PBE-GGA", "state": "optimized geometry", "total_energy_ev_per_atom": -3.10, "raw_formation_energy_ev_per_atom": -0.600, "e_above_lowest_polymorph_mev_per_atom": 219, "lattice_angstrom": [[4.514, 0.000, 0.000], [-2.257, 3.910, 0.000], [0.000, 0.000, 6.150]], "species": ["Ca", "Tl", "Te"], "fractional_positions": [[0.000, 0.000, 0.000], [0.667, 0.333, 0.612], [0.333, 0.667, 0.259]]}